Entry from Alexandria: crystalline Pm3Nd2Sm5 at its relaxed geometry (PBE).

Output
As for the symmetry: No. 72. The crystal system is orthorhombic. The calculation puts the energy of formation from the pure elements at 0.362 eV/atom.

Cell: 12.5340 12.5340 12.5340 Å, 135.28 56.14 147.85°
Fractional coordinates of all 20 atoms:
Pm1 0.1261 0.2504 0.3764
Pm2 0.2500 0.2500 0.0000
Pm3 0.3739 0.7504 0.1243
Pm4 0.6261 0.2496 0.8757
Pm5 0.7500 0.7500 0.0000
Pm6 0.8739 0.7496 0.6236
Nd1 0.1241 0.9009 0.0250
Nd2 0.3759 0.4009 0.7768
Nd3 0.6241 0.5991 0.2232
Nd4 0.8759 0.0991 0.9750
Sm1 0.0006 0.2500 0.7506
Sm2 0.1261 0.5926 0.7187
Sm3 0.2500 0.7500 0.5000
Sm4 0.3739 0.0926 0.4665
Sm5 0.4994 0.2500 0.2494
Sm6 0.5006 0.7500 0.7506
Sm7 0.6261 0.9074 0.5335
Sm8 0.7500 0.2500 0.5000
Sm9 0.8739 0.4074 0.2813
Sm10 0.9994 0.7500 0.2494

***

Entry from Alexandria: crystalline TlOsNO2 at its relaxed geometry (PBE).

Output
As for the symmetry: No. 123. The crystal system is tetragonal. The formation energy from raw total energies is -204 meV per atom.

Cell: 4.0238 4.0238 3.8918 Å, 90.00 90.00 90.00°
Fractional coordinates of all 5 atoms:
Tl1 0.0000 0.0000 0.0000
Os1 0.5000 0.5000 0.5000
N1 0.5000 0.5000 0.0000
O1 0.0000 0.5000 0.5000
O2 0.5000 0.0000 0.5000

***

no.,VASP energy (Ry/atom)
1,-0.322
2,-0.483